one.
NaY2B2: relaxed, GGA-PBE.

Unit cell a=7.0136 b=7.0136 c=3.8302 alpha=90.00 beta=90.00 gamma=90.00
With the nearest neighbours (Å) after each atom.
Fractional positions:
B1 0.0817 0.4183 0.0000  1 B 1.62
Y1 0.8231 0.3231 0.5000  4 B 2.72
B2 0.4183 0.9183 0.0000  1 B 1.62
Y2 0.1769 0.6769 0.5000  4 B 2.72
Y3 0.3231 0.1769 0.5000  4 B 2.72
B3 0.5817 0.0817 0.0000  1 B 1.62
Na1 0.5000 0.5000 0.0000  4 B 2.99, 8 Y 3.22
Y4 0.6769 0.8231 0.5000  4 B 2.72
B4 0.9183 0.5817 0.0000  1 B 1.62
Na2 0.0000 0.0000 0.0000  4 B 2.99, 8 Y 3.22

Results
mass density = 3.92 Mg/m³
M_tot = 0.00 μB per formula unit
N(E_F) = 0.566 states/eV per atom

two.
NaY2B2: relaxed, GGA-PBE.

Unit cell a=4.9890 b=4.9890 c=5.2971 alpha=61.91 beta=61.91 gamma=90.00
With the nearest neighbours (Å) after each atom.
Fractional positions:
Y1 0.2500 0.7500 0.5000  4 B 2.75
B1 0.6026 0.6026 0.7947  1 B 1.62
Na1 0.0000 0.0000 0.0000  2 B 3.14, 8 Y 3.18
B2 0.3974 0.3974 0.2053  1 B 1.62
Y2 0.7500 0.2500 0.5000  4 B 2.75

Results
mass density = 3.76 Mg/m³
M_tot = 0.00 μB per formula unit
N(E_F) = 1.051 states/eV per atom

Which of them is the least stable? Correct choice: two.

one.
NaY3B: relaxed, GGA-PBE.

Unit cell a=5.3497 b=5.3497 c=5.3497 alpha=90.00 beta=90.00 gamma=90.00
With the nearest neighbours (Å) after each atom.
Fractional positions:
B1 0.5000 0.5000 0.5000  12 Y 3.78
Y1 0.0000 0.0000 0.5000  2 Na 2.67
Y2 0.5000 0.0000 0.0000  2 Na 2.67
Y3 0.0000 0.5000 0.0000  2 Na 2.67
Na1 0.0000 0.0000 0.0000  6 Y 2.67

Results
mass density = 3.26 Mg/m³
M_tot = 1.45 μB per formula unit
N(E_F) = 1.619 states/eV per atom

two.
NaY3B: relaxed, GGA-PBE.

Unit cell a=5.1993 b=5.1993 c=5.1993 alpha=90.00 beta=90.00 gamma=90.00
With the nearest neighbours (Å) after each atom.
Fractional positions:
Y1 0.5000 0.0000 0.0000  2 B 2.60
Na1 0.5000 0.5000 0.5000  12 Y 3.68
B1 0.0000 0.0000 0.0000  6 Y 2.60
Y2 0.0000 0.0000 0.5000  2 B 2.60
Y3 0.0000 0.5000 0.0000  2 B 2.60

Results
mass density = 3.55 Mg/m³
M_tot = 0.00 μB per formula unit
N(E_F) = 1.933 states/eV per atom

Which of them is the least stable? Correct choice: one.

one.
NaZrB: relaxed, GGA-PBE.

Unit cell a=3.3439 b=3.1125 c=12.1479 alpha=90.00 beta=81.89 gamma=90.00
With the nearest neighbours (Å) after each atom.
Fractional positions:
Zr1 0.9401 0.2500 0.1173  6 B 2.45-2.50
Zr2 0.0599 0.7500 0.8827  6 B 2.45-2.50
B1 0.4837 0.7500 0.0320  2 B 1.74
Na1 0.6833 0.2500 0.6332  4 Na 3.11-3.34
B2 0.5163 0.2500 0.9680  2 B 1.74
Na2 0.3167 0.7500 0.3668  4 Na 3.11-3.34

Results
mass density = 3.32 Mg/m³
M_tot = 0.00 μB per formula unit
N(E_F) = 0.588 states/eV per atom

two.
NaZrB: relaxed, GGA-PBE.

Unit cell a=9.3348 b=4.6737 c=3.1279 alpha=109.49 beta=80.97 gamma=94.47
With the nearest neighbours (Å) after each atom.
Fractional positions:
Na1 0.4572 0.7209 0.6728  3 B 2.58-2.79
Na2 0.7098 0.2129 0.2693  4 Na 3.13-3.46, 3 Zr 3.25-3.44
Zr1 0.9552 0.7579 0.4267  3 B 2.37-2.61
B1 0.1774 0.6708 0.7786  2 B 1.70
B2 0.2117 0.8061 0.3300  2 B 1.70
Zr2 0.1635 0.2279 0.0633  6 B 2.46-2.57

Results
mass density = 3.27 Mg/m³
M_tot = 0.00 μB per formula unit
N(E_F) = 0.765 states/eV per atom

three.
NaZrB: relaxed, GGA-PBE.

Unit cell a=5.9549 b=3.2427 c=13.2730 alpha=90.00 beta=90.00 gamma=90.00
With the nearest neighbours (Å) after each atom.
Fractional positions:
B1 0.0052 0.7500 0.2501  4 Zr 2.38
Zr1 0.2447 0.7500 0.8175  4 B 2.38
B2 0.4948 0.2500 0.7501  4 Zr 2.38
Na1 0.2462 0.7500 0.5744  4 B 3.20-3.21, 3 Zr 3.23-3.31, 2 Na 3.24
Zr2 0.7447 0.7500 0.6825  4 B 2.38
Na2 0.7462 0.7500 0.9256  4 B 3.20-3.21, 3 Zr 3.23-3.31, 2 Na 3.24
Zr3 0.7553 0.2500 0.1825  4 B 2.38
B3 0.9948 0.2500 0.7499  4 Zr 2.38
Zr4 0.2553 0.2500 0.3175  4 B 2.38
Na3 0.2538 0.2500 0.0744  4 B 3.20-3.21, 3 Zr 3.23-3.31, 2 Na 3.24
B4 0.5052 0.7500 0.2499  4 Zr 2.38
Na4 0.7538 0.2500 0.4256  4 B 3.20-3.21, 3 Zr 3.23-3.31, 2 Na 3.24

Results
mass density = 3.24 Mg/m³
M_tot = 0.00 μB per formula unit
N(E_F) = 0.576 states/eV per atom

Which of them is the least stable? Correct choice: three.

one.
NaZr2B2: relaxed, GGA-PBE.

Unit cell a=7.3688 b=7.3688 c=2.8634 alpha=90.00 beta=90.00 gamma=90.00
With the nearest neighbours (Å) after each atom.
Fractional positions:
B1 0.8365 0.3365 0.5000  6 Zr 2.50-2.66
Zr1 0.8602 0.6398 0.0000  6 B 2.50-2.66
B2 0.6635 0.8365 0.5000  6 Zr 2.50-2.66
Zr2 0.3602 0.8602 0.0000  6 B 2.50-2.66
Na1 0.5000 0.5000 0.0000  4 Zr 2.85, 2 Na 2.86, 8 B 3.11
Na2 0.0000 0.0000 0.0000  4 Zr 2.85, 2 Na 2.86, 8 B 3.11
Zr3 0.1398 0.3602 0.0000  6 B 2.50-2.66
Zr4 0.6398 0.1398 0.0000  6 B 2.50-2.66
B3 0.1635 0.6635 0.5000  6 Zr 2.50-2.66
B4 0.3365 0.1635 0.5000  6 Zr 2.50-2.66

Results
mass density = 4.85 Mg/m³
M_tot = 0.00 μB per formula unit
N(E_F) = 0.589 states/eV per atom

two.
NaZr2B2: relaxed, GGA-PBE.

Unit cell a=4.3519 b=4.3519 c=6.0315 alpha=68.85 beta=68.85 gamma=90.00
With the nearest neighbours (Å) after each atom.
Fractional positions:
Zr1 0.3272 0.3272 0.3455  4 B 2.32
Na1 0.0000 0.0000 0.0000  8 B 3.39, 10 Zr 3.40-3.56
B1 0.7500 0.2500 0.5000  4 Zr 2.32
Zr2 0.6728 0.6728 0.6545  4 B 2.32
B2 0.2500 0.7500 0.5000  4 Zr 2.32

Results
mass density = 3.84 Mg/m³
M_tot = 0.98 μB per formula unit
N(E_F) = 0.207 states/eV per atom

Which of them is the least stable? Correct choice: one.

one.
NaZrB3: relaxed, GGA-PBE.

Unit cell a=4.5362 b=4.5362 c=4.5362 alpha=90.00 beta=90.00 gamma=90.00
With the nearest neighbours (Å) after each atom.
Fractional positions:
B1 0.0000 0.5000 0.0000  2 Zr 2.27
Na1 0.5000 0.5000 0.5000  12 B 3.21
B2 0.0000 0.0000 0.5000  2 Zr 2.27
B3 0.5000 0.0000 0.0000  2 Zr 2.27
Zr1 0.0000 0.0000 0.0000  6 B 2.27

Results
mass density = 2.61 Mg/m³
M_tot = 0.00 μB per formula unit
N(E_F) = 0.587 states/eV per atom

two.
NaZrB3: relaxed, GGA-PBE.

Unit cell a=4.0717 b=4.0717 c=4.0717 alpha=90.00 beta=90.00 gamma=90.00
With the nearest neighbours (Å) after each atom.
Fractional positions:
B1 0.0000 0.5000 0.0000  2 Na 2.04
Na1 0.0000 0.0000 0.0000  6 B 2.04
Zr1 0.5000 0.5000 0.5000  12 B 2.88
B2 0.5000 0.0000 0.0000  2 Na 2.04
B3 0.0000 0.0000 0.5000  2 Na 2.04

Results
mass density = 3.61 Mg/m³
M_tot = 0.00 μB per formula unit
N(E_F) = 0.286 states/eV per atom

Which of them is the least stable? Correct choice: two.

one.
Nb4B: relaxed, GGA-PBE.

Unit cell a=4.4106 b=4.4106 c=4.4106 alpha=90.00 beta=90.00 gamma=90.00
With the nearest neighbours (Å) after each atom.
Fractional positions:
Nb1 0.0000 0.5000 0.5000  2 B 2.21
Nb2 0.5000 0.5000 0.0000  2 B 2.21
Nb3 0.0000 0.0000 0.0000  12 Nb 3.12
Nb4 0.5000 0.0000 0.5000  2 B 2.21
B1 0.5000 0.5000 0.5000  6 Nb 2.21

Results
mass density = 7.40 Mg/m³
M_tot = 0.00 μB per formula unit
N(E_F) = 1.032 states/eV per atom

two.
Nb4B: relaxed, GGA-PBE.

Unit cell a=2.7136 b=5.6414 c=5.6414 alpha=86.68 beta=76.08 gamma=76.08
With the nearest neighbours (Å) after each atom.
Fractional positions:
Nb1 0.2366 0.3205 0.2063  2 B 2.49, 2 Nb 2.71
Nb2 0.7634 0.6795 0.7937  2 B 2.49, 2 Nb 2.71
Nb3 0.4429 0.7937 0.3205  2 B 2.49, 2 Nb 2.71
Nb4 0.5571 0.2063 0.6795  2 B 2.49, 2 Nb 2.71
B1 0.0000 0.0000 0.0000  8 Nb 2.49, 2 B 2.71

Results
mass density = 7.80 Mg/m³
M_tot = 0.00 μB per formula unit
N(E_F) = 0.700 states/eV per atom

Which of them is the least stable? Correct choice: two.

one.
Nb2BO: relaxed, GGA-PBE.

Unit cell a=4.0307 b=4.0307 c=4.0307 alpha=60.00 beta=60.00 gamma=60.00
With the nearest neighbours (Å) after each atom.
Fractional positions:
O1 0.5000 0.5000 0.5000  8 Nb 2.47
Nb1 0.2500 0.2500 0.2500  4 O 2.47, 4 B 2.47
B1 0.0000 0.0000 0.0000  8 Nb 2.47
Nb2 0.7500 0.7500 0.7500  4 O 2.47, 4 B 2.47

Results
mass density = 7.62 Mg/m³
M_tot = 0.00 μB per formula unit
N(E_F) = 0.502 states/eV per atom

two.
Nb2BO: relaxed, GGA-PBE.

Unit cell a=4.8407 b=4.8407 c=6.0625 alpha=66.47 beta=66.47 gamma=90.00
With the nearest neighbours (Å) after each atom.
Fractional positions:
Nb1 0.3750 0.3680 0.7500  2 O 2.10, 2 B 2.14
Nb2 0.6320 0.1250 0.2500  2 O 2.10, 2 B 2.14
O1 0.7500 0.2500 0.5000  4 Nb 2.10
O2 0.0000 0.0000 0.0000  4 Nb 2.10
B1 0.5000 0.5000 0.0000  4 Nb 2.14
Nb3 0.8750 0.8820 0.7500  2 O 2.10, 2 B 2.14
B2 0.2500 0.7500 0.5000  4 Nb 2.14
Nb4 0.1180 0.6250 0.2500  2 O 2.10, 2 B 2.14

Results
mass density = 6.02 Mg/m³
M_tot = 0.00 μB per formula unit
N(E_F) = 0.599 states/eV per atom

Which of them is the least stable? Correct choice: one.

one.
NbBPO2: relaxed, GGA-PBE.

Unit cell a=3.5355 b=3.5355 c=4.1492 alpha=90.00 beta=90.00 gamma=90.00
With the nearest neighbours (Å) after each atom.
Fractional positions:
B1 0.0000 0.0000 0.0000  4 O 1.77
Nb1 0.5000 0.5000 0.5000  4 P 2.50, 8 O 2.73
O1 0.5000 0.0000 0.0000  2 B 1.77
O2 0.0000 0.5000 0.0000  2 B 1.77
P1 0.0000 0.0000 0.5000  2 B 2.07

Results
mass density = 5.34 Mg/m³
M_tot = 0.19 μB per formula unit
N(E_F) = 0.544 states/eV per atom

two.
NbBPO2: relaxed, GGA-PBE.

Unit cell a=3.8342 b=3.8342 c=5.3715 alpha=90.00 beta=90.00 gamma=90.00
With the nearest neighbours (Å) after each atom.
Fractional positions:
B1 0.5000 0.5000 0.5000  4 P 2.71
Nb1 0.0000 0.0000 0.0000  4 O 1.92
O1 0.5000 0.0000 0.0000  2 Nb 1.92
P1 0.0000 0.0000 0.5000  2 Nb 2.69, 4 B 2.71
O2 0.0000 0.5000 0.0000  2 Nb 1.92

Results
mass density = 3.51 Mg/m³
M_tot = 0.00 μB per formula unit
N(E_F) = 0.273 states/eV per atom

Which of them is the least stable? Correct choice: one.